The following is a DFT calculation (PBE with a Hubbard U) of a geometry-optimized NdCo2MoO6 structure. Values from VASP.

E_tot = -69.2 eV for the cell shown
Space group = P1 (1)

```
&SYSTEM
  ibrav = 0, nat = 10, ntyp = 4
/
ATOMIC_SPECIES
Nd 144.24 Nd.upf
Co 58.93 Co.upf
Mo 95.94 Mo.upf
O 16.00 O.upf
ATOMIC_POSITIONS crystal
Nd 0.796 0.781 0.626
Co 0.524 0.532 0.415
Co 0.006 0.006 0.980
Mo 0.332 0.311 0.043
O 0.629 0.247 0.213
O 0.221 0.918 0.228
O 0.900 0.635 0.228
O 0.332 0.735 0.767
O 0.748 0.159 0.760
O 0.173 0.339 0.755
CELL_PARAMETERS angstrom
5.377 -0.049 0.030
2.645 4.551 0.044
2.709 1.533 4.795
```